[1]
Compound: VZnP2Cl
Source: Alexandria via LeMat-Bulk
Functional: PBE-GGA
Structure: relaxed

Summary:
- offset from the most stable computed form (meV/atom) = 835
- formation energy from raw total energies (eV/atom) = 0.983
- E_tot (eV/atom) = -3.63
- M_tot (μB/f.u.) = 0.21

Lattice parameters (Å, degrees): 4.526 4.526 4.913 90.00 90.00 90.00
Space group P4/mmm (No. 123)
Unique sites:
V 0.000 0.000 0.000 (multiplicity 1)
Zn 0.500 0.500 0.500 (multiplicity 1)
P 0.000 0.500 0.500 (multiplicity 2)
Cl 0.500 0.500 0.000 (multiplicity 1)

---

[2]
Compound: TmTlTe2
Source: Alexandria via LeMat-Bulk
Functional: PBE-GGA
Structure: relaxed

Summary:
- formation energy from raw total energies (eV/atom) = -1.027
- E_tot (eV/atom) = -4.31
- M_tot (μB/f.u.) = 0.00

Lattice parameters (Å, degrees): 4.4105 4.4105 24.5617 90.00 90.00 120.00
Space group R-3m (No. 166, hexagonal axes)
Unique sites:
Tm 0.0000 0.0000 0.0000 (multiplicity 3)
Tl 0.0000 0.0000 0.5000 (multiplicity 3)
Te 0.0000 0.0000 0.2632 (multiplicity 6)